# AcCe2Cu2Sn2 PBE optimized geometry
data_AcCe2Cu2Sn2
_chemical_formula_sum 'Ac3 Ce6 Cu6 Sn6'
_cell_length_a 4.5340
_cell_length_b 4.5340
_cell_length_c 29.4811
_cell_angle_alpha 90.00
_cell_angle_beta 90.00
_cell_angle_gamma 120.00
_symmetry_space_group_name_H-M 'R -3 m'
_symmetry_Int_Tables_number 166
_symmetry_space_group_name_Hall '-R 3 2"'
loop_
_atom_site_label
_atom_site_fract_x
_atom_site_fract_y
_atom_site_fract_z
Ac1 0.0000 0.0000 0.0000
Ce1 0.0000 0.0000 0.1437
Cu1 0.0000 0.0000 0.4250
Sn1 0.0000 0.0000 0.2585
# Magnetization ... 1.85 μB/f.u.
# DOS(E_F) ... 11.62 states/eV/f.u.

# AcCeDy2 PBE optimized geometry
data_AcCeDy2
_chemical_formula_sum 'Ac3 Ce3 Dy6'
_cell_length_a 3.6701
_cell_length_b 3.6701
_cell_length_c 35.3218
_cell_angle_alpha 90.00
_cell_angle_beta 90.00
_cell_angle_gamma 120.00
_symmetry_space_group_name_H-M 'R 3 m'
_symmetry_Int_Tables_number 160
_symmetry_space_group_name_Hall 'R 3 -2"'
loop_
_atom_site_label
_atom_site_fract_x
_atom_site_fract_y
_atom_site_fract_z
Ac1 0.0000 0.0000 0.0000
Ce1 0.0000 0.0000 0.1661
Dy1 0.0000 0.0000 0.4192
Dy2 0.0000 0.0000 0.5804
# Magnetization ... 1.21 μB/f.u.
# DOS(E_F) ... 8.31 states/eV/f.u.
# Energy above the lowest structure with this stoichiometry ... 17 meV/atom

# AcCeDy2 PBE optimized geometry
data_AcCeDy2
_chemical_formula_sum 'Ac1 Ce1 Dy2'
_cell_length_a 3.6770
_cell_length_b 3.6770
_cell_length_c 10.0775
_cell_angle_alpha 90.00
_cell_angle_beta 90.00
_cell_angle_gamma 90.00
_symmetry_space_group_name_H-M 'P 4/m m m'
_symmetry_Int_Tables_number 123
_symmetry_space_group_name_Hall '-P 4 2'
loop_
_atom_site_label
_atom_site_fract_x
_atom_site_fract_y
_atom_site_fract_z
Ac1 0.0000 0.0000 0.0000
Ce1 0.0000 0.0000 0.5000
Dy1 0.5000 0.5000 0.2707
# Magnetization ... 0.58 μB/f.u.
# DOS(E_F) ... 7.59 states/eV/f.u.
# Energy above the lowest structure with this stoichiometry ... 0 meV/atom

# AcCeDy2 PBE optimized geometry
data_AcCeDy2
_chemical_formula_sum 'Ac4 Ce4 Dy8'
_cell_length_a 8.2384
_cell_length_b 8.2384
_cell_length_c 8.2384
_cell_angle_alpha 90.00
_cell_angle_beta 90.00
_cell_angle_gamma 90.00
_symmetry_space_group_name_H-M 'F m -3 m'
_symmetry_Int_Tables_number 225
_symmetry_space_group_name_Hall '-F 4 2 3'
loop_
_atom_site_label
_atom_site_fract_x
_atom_site_fract_y
_atom_site_fract_z
Ac1 0.0000 0.0000 0.0000
Ce1 0.0000 0.0000 0.5000
Dy1 0.2500 0.2500 0.2500
# Magnetization ... 0.76 μB/f.u.
# DOS(E_F) ... 10.51 states/eV/f.u.
# Energy above the lowest structure with this stoichiometry ... 98 meV/atom

# AcCe4Dy PBE optimized geometry
data_AcCe4Dy
_chemical_formula_sum 'Ac4 Ce16 Dy4'
_cell_length_a 9.0877
_cell_length_b 9.0877
_cell_length_c 9.0877
_cell_angle_alpha 90.00
_cell_angle_beta 90.00
_cell_angle_gamma 90.00
_symmetry_space_group_name_H-M 'F -4 3 m'
_symmetry_Int_Tables_number 216
_symmetry_space_group_name_Hall 'F -4 2 3'
loop_
_atom_site_label
_atom_site_fract_x
_atom_site_fract_y
_atom_site_fract_z
Ac1 0.0000 0.0000 0.0000
Ce1 0.1190 0.1190 0.6190
Dy1 0.2500 0.2500 0.2500
# Magnetization ... 3.81 μB/f.u.
# DOS(E_F) ... 19.64 states/eV/f.u.

# AcCeDy2 PBE optimized geometry
data_AcCeDy2
_chemical_formula_sum 'Ac1 Ce1 Dy2'
_cell_length_a 5.2094
_cell_length_b 5.2094
_cell_length_c 5.0428
_cell_angle_alpha 90.00
_cell_angle_beta 90.00
_cell_angle_gamma 90.00
_symmetry_space_group_name_H-M 'P 4/m m m'
_symmetry_Int_Tables_number 123
_symmetry_space_group_name_Hall '-P 4 2'
loop_
_atom_site_label
_atom_site_fract_x
_atom_site_fract_y
_atom_site_fract_z
Ac1 0.0000 0.0000 0.0000
Ce1 0.5000 0.5000 0.0000
Dy1 0.0000 0.5000 0.5000
# Magnetization ... 0.83 μB/f.u.
# DOS(E_F) ... 8.75 states/eV/f.u.
# Energy above the lowest structure with this stoichiometry ... 23 meV/atom

# AcCeEuDy PBE optimized geometry
data_AcCeEuDy
_chemical_formula_sum 'Ac4 Ce4 Eu4 Dy4'
_cell_length_a 8.4381
_cell_length_b 8.4381
_cell_length_c 8.4381
_cell_angle_alpha 90.00
_cell_angle_beta 90.00
_cell_angle_gamma 90.00
_symmetry_space_group_name_H-M 'F -4 3 m'
_symmetry_Int_Tables_number 216
_symmetry_space_group_name_Hall 'F -4 2 3'
loop_
_atom_site_label
_atom_site_fract_x
_atom_site_fract_y
_atom_site_fract_z
Ac1 0.0000 0.0000 0.0000
Ce1 0.2500 0.2500 0.2500
Eu1 0.2500 0.2500 0.7500
Dy1 0.0000 0.0000 0.5000
# Magnetization ... 4.92 μB/f.u.
# DOS(E_F) ... 13.58 states/eV/f.u.

# AcCeDyGa PBE optimized geometry
data_AcCeDyGa
_chemical_formula_sum 'Ac4 Ce4 Dy4 Ga4'
_cell_length_a 7.7486
_cell_length_b 7.7486
_cell_length_c 7.7486
_cell_angle_alpha 90.00
_cell_angle_beta 90.00
_cell_angle_gamma 90.00
_symmetry_space_group_name_H-M 'F -4 3 m'
_symmetry_Int_Tables_number 216
_symmetry_space_group_name_Hall 'F -4 2 3'
loop_
_atom_site_label
_atom_site_fract_x
_atom_site_fract_y
_atom_site_fract_z
Ac1 0.0000 0.0000 0.0000
Ce1 0.2500 0.2500 0.7500
Dy1 0.2500 0.2500 0.2500
Ga1 0.0000 0.0000 0.5000
# Magnetization ... 0.84 μB/f.u.
# DOS(E_F) ... 8.76 states/eV/f.u.

# AcCeGdDy PBE optimized geometry
data_AcCeGdDy
_chemical_formula_sum 'Ac4 Ce4 Gd4 Dy4'
_cell_length_a 8.2701
_cell_length_b 8.2701
_cell_length_c 8.2701
_cell_angle_alpha 90.00
_cell_angle_beta 90.00
_cell_angle_gamma 90.00
_symmetry_space_group_name_H-M 'F -4 3 m'
_symmetry_Int_Tables_number 216
_symmetry_space_group_name_Hall 'F -4 2 3'
loop_
_atom_site_label
_atom_site_fract_x
_atom_site_fract_y
_atom_site_fract_z
Ac1 0.0000 0.0000 0.0000
Ce1 0.0000 0.0000 0.5000
Gd1 0.2500 0.2500 0.2500
Dy1 0.2500 0.2500 0.7500
# Magnetization ... 6.63 μB/f.u.
# DOS(E_F) ... 11.56 states/eV/f.u.

# AcCeDy2Hg4 PBE optimized geometry
data_AcCeDy2Hg4
_chemical_formula_sum 'Ac3 Ce3 Dy6 Hg12'
_cell_length_a 5.3838
_cell_length_b 5.3838
_cell_length_c 27.2523
_cell_angle_alpha 90.00
_cell_angle_beta 90.00
_cell_angle_gamma 120.00
_symmetry_space_group_name_H-M 'R -3 m'
_symmetry_Int_Tables_number 166
_symmetry_space_group_name_Hall '-R 3 2"'
loop_
_atom_site_label
_atom_site_fract_x
_atom_site_fract_y
_atom_site_fract_z
Ac1 0.0000 0.0000 0.0000
Ce1 0.0000 0.0000 0.5000
Dy1 0.0000 0.0000 0.2452
Hg1 0.0000 0.0000 0.1264
Hg2 0.0000 0.0000 0.3819
# Magnetization ... 1.82 μB/f.u.
# DOS(E_F) ... 14.68 states/eV/f.u.

# AcCeDyHo PBE optimized geometry
data_AcCeDyHo
_chemical_formula_sum 'Ac4 Ce4 Dy4 Ho4'
_cell_length_a 8.2298
_cell_length_b 8.2298
_cell_length_c 8.2298
_cell_angle_alpha 90.00
_cell_angle_beta 90.00
_cell_angle_gamma 90.00
_symmetry_space_group_name_H-M 'F -4 3 m'
_symmetry_Int_Tables_number 216
_symmetry_space_group_name_Hall 'F -4 2 3'
loop_
_atom_site_label
_atom_site_fract_x
_atom_site_fract_y
_atom_site_fract_z
Ac1 0.0000 0.0000 0.0000
Ce1 0.0000 0.0000 0.5000
Dy1 0.2500 0.2500 0.7500
Ho1 0.2500 0.2500 0.2500
# Magnetization ... 0.72 μB/f.u.
# DOS(E_F) ... 10.26 states/eV/f.u.

# AcCeDy2In4 PBE optimized geometry
data_AcCeDy2In4
_chemical_formula_sum 'Ac3 Ce3 Dy6 In12'
_cell_length_a 5.4840
_cell_length_b 5.4840
_cell_length_c 26.9424
_cell_angle_alpha 90.00
_cell_angle_beta 90.00
_cell_angle_gamma 120.00
_symmetry_space_group_name_H-M 'R -3 m'
_symmetry_Int_Tables_number 166
_symmetry_space_group_name_Hall '-R 3 2"'
loop_
_atom_site_label
_atom_site_fract_x
_atom_site_fract_y
_atom_site_fract_z
Ac1 0.0000 0.0000 0.0000
Ce1 0.0000 0.0000 0.5000
Dy1 0.0000 0.0000 0.2499
In1 0.0000 0.0000 0.1274
In2 0.0000 0.0000 0.3779
# Magnetization ... 0.99 μB/f.u.
# DOS(E_F) ... 9.85 states/eV/f.u.

Number 1: E_form -2.8 eV per formula unit, total DFT energy (no corrections) -105.0 eV per cell. Number 2: E_form 0.4 eV per formula unit, total DFT energy (no corrections) -56.4 eV per cell. Number 3: E_form 0.4 eV per formula unit, total DFT energy (no corrections) -18.9 eV per cell. Number 4: E_form 0.8 eV per formula unit, total DFT energy (no corrections) -74.0 eV per cell. Number 5: E_form 1.2 eV per formula unit, total DFT energy (no corrections) -125.1 eV per cell. Number 6: E_form 0.5 eV per formula unit, total DFT energy (no corrections) -18.8 eV per cell. Number 7: E_form 1.1 eV per formula unit, total DFT energy (no corrections) -95.4 eV per cell. Number 8: E_form 0.2 eV per formula unit, total DFT energy (no corrections) -69.8 eV per cell. Number 9: E_form 0.8 eV per formula unit, total DFT energy (no corrections) -111.9 eV per cell. Number 10: E_form -3.2 eV per formula unit, total DFT energy (no corrections) -71.0 eV per cell. Number 11: E_form 0.7 eV per formula unit, total DFT energy (no corrections) -73.9 eV per cell. Number 12: E_form -3.2 eV per formula unit, total DFT energy (no corrections) -100.2 eV per cell.